# 1
The following is a DFT calculation (PBE) of a relaxed structure of NdTmIr.

Cell lengths 4.7290, 4.7290, 4.7290 Å; angles 60.00, 60.00, 60.00 degrees
With the nearest neighbours (Å) after each atom.
Fractional coordinates of all 3 atoms:
Ir 0.2500 0.2500 0.2500  4 Tm 2.90
Nd 0.7500 0.7500 0.7500  4 Tm 2.90
Tm 0.0000 0.0000 0.0000  4 Nd 2.90, 4 Ir 2.90

Computed properties:
Its space group is No. 216. Its total DFT energy (no corrections) is -5.90 eV/atom. Its energy above the most stable polymorph in this dataset is 0.0 meV/atom.

# 2
The following is a DFT calculation (PBE) of a relaxed structure of Ho4CI2Cl3.

Cell lengths 9.1305, 9.1305, 7.9206 Å; angles 100.22, 100.22, 24.06 degrees
With the nearest neighbours (Å) after each atom.
Fractional coordinates of all 10 atoms:
C 0.5000 0.5000 0.0000  6 Ho 2.37-2.51
Cl 0.8336 0.8336 0.1620  3 Ho 2.73-2.85
Cl 0.5000 0.5000 0.5000  4 Ho 3.00
Cl 0.1664 0.1664 0.8380  3 Ho 2.73-2.85
Ho 0.6351 0.6351 0.0623  1 C 2.37
Ho 0.9957 0.9957 0.2049  2 C 2.51
Ho 0.0043 0.0043 0.7951  2 C 2.51
Ho 0.3649 0.3649 0.9377  1 C 2.37
I 0.1663 0.1663 0.3593  3 Ho 3.00-3.07
I 0.8337 0.8337 0.6407  3 Ho 3.00-3.07

Computed properties:
Its space group is No. 12. Its total DFT energy (no corrections) is -5.03 eV/atom. Its energy above the most stable polymorph in this dataset is 26.1 meV/atom.

# 3
The following is a DFT calculation (PBE) of a relaxed structure of Ni15Te.

Cell lengths 3.5355, 3.5358, 36.8344 Å; angles 90.00, 90.00, 90.00 degrees
With the nearest neighbours (Å) after each atom.
Fractional coordinates of all 32 atoms:
Ni 0.2500 0.5000 0.1516  4 Ni 2.46, 4 Te 2.55
Ni 0.2500 0.0000 0.1982  10 Ni 2.46-2.50
Ni 0.7500 0.5000 0.1982  10 Ni 2.46-2.50
Ni 0.7500 0.0000 0.2446  12 Ni 2.46-2.50
Ni 0.2500 0.5000 0.2447  12 Ni 2.46-2.50
Ni 0.2500 0.0000 0.2912  12 Ni 2.46-2.50
Ni 0.7500 0.5000 0.2912  12 Ni 2.46-2.50
Ni 0.7500 0.0000 0.3376  12 Ni 2.46-2.50
Ni 0.2500 0.5000 0.3377  12 Ni 2.46-2.50
Ni 0.7500 0.5000 0.3840  12 Ni 2.46-2.50
Ni 0.2500 0.0000 0.3840  12 Ni 2.46-2.50
Ni 0.2500 0.5000 0.4304  12 Ni 2.46-2.50
Ni 0.7500 0.0000 0.4304  12 Ni 2.46-2.50
Ni 0.7500 0.5000 0.4768  12 Ni 2.46-2.50
Ni 0.2500 0.0000 0.4768  12 Ni 2.46-2.50
Ni 0.7500 0.0000 0.5232  12 Ni 2.46-2.50
Ni 0.2500 0.5000 0.5232  12 Ni 2.46-2.50
Ni 0.2500 0.0000 0.5696  12 Ni 2.46-2.50
Ni 0.7500 0.5000 0.5696  12 Ni 2.46-2.50
Ni 0.7500 0.0000 0.6160  12 Ni 2.46-2.50
Ni 0.2500 0.5000 0.6160  12 Ni 2.46-2.50
Ni 0.7500 0.5000 0.6623  12 Ni 2.46-2.50
Ni 0.2500 0.0000 0.6624  12 Ni 2.46-2.50
Ni 0.2500 0.5000 0.7088  12 Ni 2.46-2.50
Ni 0.7500 0.0000 0.7088  12 Ni 2.46-2.50
Ni 0.7500 0.5000 0.7553  12 Ni 2.46-2.50
Ni 0.2500 0.0000 0.7554  12 Ni 2.46-2.50
Ni 0.2500 0.5000 0.8018  10 Ni 2.46-2.50
Ni 0.7500 0.0000 0.8018  10 Ni 2.46-2.50
Ni 0.7500 0.5000 0.8484  4 Ni 2.46, 4 Te 2.55
Te 0.7500 0.0000 0.1380  8 Ni 2.55-2.84
Te 0.2500 0.0000 0.8620  8 Ni 2.55-2.84

Computed properties:
Its space group is No. 51. Its total DFT energy (no corrections) is -5.40 eV/atom. Its energy above the most stable polymorph in this dataset is 0.0 meV/atom.

# 4
The following is a DFT calculation (PBE) of a relaxed structure of Be2ZnW.

Cell lengths 4.1063, 4.1063, 4.1063 Å; angles 60.00, 60.00, 60.00 degrees
With the nearest neighbours (Å) after each atom.
Fractional coordinates of all 4 atoms:
Be 0.0000 0.0000 0.0000  4 Be 2.51, 4 W 2.51
Be 0.7500 0.7500 0.7500  4 Zn 2.51, 4 Be 2.51
W 0.2500 0.2500 0.2500  4 Be 2.51, 4 Zn 2.51
Zn 0.5000 0.5000 0.5000  4 Be 2.51, 4 W 2.51

Computed properties:
Its space group is No. 216. Its total DFT energy (no corrections) is -4.84 eV/atom.